Mg2ScS: relaxed, PBE.

Results
Its electronic total energy is -3.90 eV/atom. As for the symmetry: No. 122.

a b c (Å): 6.3162 6.3162 6.3162
angles (deg): 100.07 100.07 130.55
Fractional positions:
Mg 0.0584 0.6250 0.9334
Mg 0.3750 0.3084 0.4334
Mg 0.6916 0.1250 0.0666
Mg 0.8750 0.9416 0.5666
Sc 0.2500 0.7500 0.5000
Sc 0.5000 0.5000 0.0000
S 0.0000 0.0000 0.0000
S 0.7500 0.2500 0.5000

MgSc2S4: relaxed, PBE.

Results
Its electronic total energy is -5.91 eV/atom. Its energy above the lowest structure with this stoichiometry is 271.3 meV/atom. As for the symmetry: No. 62.

a b c (Å): 6.9487 7.2839 11.0388
angles (deg): 90.00 90.00 90.00
Fractional positions:
Mg 0.1234 0.2500 0.2142
Mg 0.3766 0.7500 0.7142
Mg 0.6234 0.2500 0.2858
Mg 0.8766 0.7500 0.7858
Sc 0.0141 0.2500 0.4991
Sc 0.1100 0.7500 0.1847
Sc 0.3900 0.2500 0.6847
Sc 0.4859 0.7500 0.9991
Sc 0.5141 0.2500 0.0009
Sc 0.6100 0.7500 0.3153
Sc 0.8900 0.2500 0.8153
Sc 0.9859 0.7500 0.5009
S 0.1083 0.5089 0.6604
S 0.1083 0.9911 0.6604
S 0.1528 0.7500 0.9344
S 0.2168 0.2500 0.8887
S 0.2832 0.7500 0.3887
S 0.3472 0.2500 0.4344
S 0.3917 0.0089 0.1604
S 0.3917 0.4911 0.1604
S 0.6083 0.5089 0.8396
S 0.6083 0.9911 0.8396
S 0.6528 0.7500 0.5656
S 0.7168 0.2500 0.6113
S 0.7832 0.7500 0.1113
S 0.8472 0.2500 0.0656
S 0.8917 0.0089 0.3396
S 0.8917 0.4911 0.3396

MgSc2S3: relaxed, PBE.

Results
Its electronic total energy is -6.11 eV/atom. As for the symmetry: No. 62.

a b c (Å): 7.3845 5.2036 11.1305
angles (deg): 90.00 90.00 90.00
Fractional positions:
Mg 0.1212 0.2500 0.0838
Mg 0.3788 0.7500 0.5838
Mg 0.6212 0.2500 0.4162
Mg 0.8788 0.7500 0.9162
Sc 0.1174 0.2500 0.4184
Sc 0.1216 0.2500 0.7453
Sc 0.3784 0.7500 0.2453
Sc 0.3826 0.7500 0.9184
Sc 0.6173 0.2500 0.0816
Sc 0.6216 0.2500 0.7547
Sc 0.8784 0.7500 0.2547
Sc 0.8826 0.7500 0.5816
S 0.1211 0.7500 0.0813
S 0.1290 0.7500 0.7497
S 0.1355 0.7500 0.4200
S 0.3645 0.2500 0.9200
S 0.3710 0.2500 0.2497
S 0.3789 0.2500 0.5813
S 0.6211 0.7500 0.4187
S 0.6290 0.7500 0.7503
S 0.6355 0.7500 0.0800
S 0.8645 0.2500 0.5800
S 0.8710 0.2500 0.2503
S 0.8789 0.2500 0.9187

MgSc2S4: relaxed, PBE.

Results
Its electronic total energy is -6.12 eV/atom. Its energy above the lowest structure with this stoichiometry is 60.9 meV/atom. As for the symmetry: No. 62.

a b c (Å): 12.7918 7.4488 6.3301
angles (deg): 90.00 90.00 90.00
Fractional positions:
Mg 0.0971 0.2500 0.0785
Mg 0.4029 0.7500 0.5785
Mg 0.5971 0.2500 0.4215
Mg 0.9029 0.7500 0.9215
Sc 0.0000 0.0000 0.5000
Sc 0.0000 0.5000 0.5000
Sc 0.2350 0.7500 0.0025
Sc 0.2650 0.2500 0.5025
Sc 0.5000 0.0000 0.0000
Sc 0.5000 0.5000 0.0000
Sc 0.7350 0.7500 0.4975
Sc 0.7650 0.2500 0.9975
S 0.0756 0.7500 0.7493
S 0.0891 0.2500 0.7023
S 0.1718 0.5021 0.2732
S 0.1718 0.9979 0.2732
S 0.3282 0.0021 0.7732
S 0.3282 0.4979 0.7732
S 0.4109 0.7500 0.2023
S 0.4244 0.2500 0.2493
S 0.5756 0.7500 0.7507
S 0.5891 0.2500 0.7977
S 0.6718 0.5021 0.2268
S 0.6718 0.9979 0.2268
S 0.8282 0.0021 0.7268
S 0.8282 0.4979 0.7268
S 0.9109 0.7500 0.2977
S 0.9244 0.2500 0.2507

MgSc2S4: relaxed, PBE.

Results
Its electronic total energy is -6.01 eV/atom. Its energy above the lowest structure with this stoichiometry is 171.5 meV/atom. As for the symmetry: No. 2.

a b c (Å): 6.8389 7.9101 13.1043
angles (deg): 98.57 95.02 90.03
Fractional positions:
Mg 0.1315 0.1971 0.2894
Mg 0.2496 0.3749 0.0013
Mg 0.7504 0.6251 0.9987
Mg 0.8685 0.8029 0.7106
Sc 0.1374 0.6998 0.2918
Sc 0.2416 0.8765 0.0001
Sc 0.3677 0.5558 0.7103
Sc 0.3694 0.0470 0.7068
Sc 0.6306 0.9530 0.2932
Sc 0.6323 0.4442 0.2897
Sc 0.7584 0.1235 0.9999
Sc 0.8626 0.3002 0.7082
S 0.1002 0.1484 0.1013
S 0.1023 0.6527 0.1046
S 0.1885 0.7835 0.6373
S 0.1897 0.2846 0.6400
S 0.3112 0.9672 0.3629
S 0.3115 0.4644 0.3586
S 0.3961 0.6027 0.8977
S 0.4035 0.0946 0.8954
S 0.5965 0.9054 0.1046
S 0.6039 0.3973 0.1023
S 0.6885 0.5356 0.6414
S 0.6888 0.0328 0.6371
S 0.8103 0.7154 0.3600
S 0.8115 0.2165 0.3627
S 0.8977 0.3473 0.8954
S 0.8998 0.8516 0.8987

MgSc2S: relaxed, PBE.

Results
Its electronic total energy is -5.50 eV/atom. Its energy above the lowest structure with this stoichiometry is 38.2 meV/atom. As for the symmetry: No. 160.

a b c (Å): 8.3906 8.3906 8.3906
angles (deg): 24.25 24.25 24.25
Fractional positions:
Mg 0.0000 0.0000 0.0000
Sc 0.2276 0.2276 0.2276
Sc 0.4386 0.4386 0.4386
S 0.8326 0.8326 0.8326

Mg3ScS: relaxed, PBE.

Results
Its electronic total energy is -3.11 eV/atom. Its energy above the lowest structure with this stoichiometry is 0.0 meV/atom. As for the symmetry: No. 221.

a b c (Å): 4.9258 4.9258 4.9258
angles (deg): 90.00 90.00 90.00
Fractional positions:
Mg 0.0000 0.0000 0.5000
Mg 0.0000 0.5000 0.0000
Mg 0.5000 0.0000 0.0000
Sc 0.5000 0.5000 0.5000
S 0.0000 0.0000 0.0000

Mg2ScS3: relaxed, PBE.

Results
Its electronic total energy is -5.12 eV/atom. As for the symmetry: No. 12.

a b c (Å): 7.2239 7.2239 8.9437
angles (deg): 105.91 105.91 29.17
Fractional positions:
Mg 0.1662 0.1662 0.3313
Mg 0.3323 0.3323 0.1663
Mg 0.6677 0.6677 0.8337
Mg 0.8338 0.8338 0.6687
Sc 0.0000 0.0000 0.5000
Sc 0.5000 0.5000 0.0000
S 0.1410 0.1410 0.0291
S 0.1957 0.1957 0.6397
S 0.4729 0.4729 0.6977
S 0.5271 0.5271 0.3023
S 0.8043 0.8043 0.3603
S 0.8590 0.8590 0.9709

Mg3ScS: relaxed, PBE.

Results
Its electronic total energy is -2.01 eV/atom. Its energy above the lowest structure with this stoichiometry is 1097.7 meV/atom. As for the symmetry: No. 221.

a b c (Å): 5.6540 5.6540 5.6540
angles (deg): 90.00 90.00 90.00
Fractional positions:
Mg 0.0000 0.0000 0.5000
Mg 0.0000 0.5000 0.0000
Mg 0.5000 0.0000 0.0000
Sc 0.0000 0.0000 0.0000
S 0.5000 0.5000 0.5000

MgSc2S: relaxed, PBE.

Results
Its electronic total energy is -4.79 eV/atom. Its energy above the lowest structure with this stoichiometry is 742.5 meV/atom. As for the symmetry: No. 166.

a b c (Å): 9.7684 9.7684 9.7684
angles (deg): 21.01 21.01 21.01
Fractional positions:
Mg 0.0000 0.0000 0.0000
Sc 0.4191 0.4191 0.4191
Sc 0.5809 0.5809 0.5809
S 0.5000 0.5000 0.5000

MgSc5S6: relaxed, PBE.

Results
Its electronic total energy is -6.60 eV/atom. As for the symmetry: No. 12.

a b c (Å): 6.3995 6.3995 6.3932
angles (deg): 99.54 99.54 120.18
Fractional positions:
Mg 0.0000 0.0000 0.0000
Sc 0.1668 0.8332 0.5000
Sc 0.3327 0.6673 0.0000
Sc 0.5000 0.5000 0.5000
Sc 0.6673 0.3327 0.0000
Sc 0.8332 0.1668 0.5000
S 0.0827 0.4098 0.2481
S 0.2446 0.2446 0.7555
S 0.4098 0.0827 0.2481
S 0.5902 0.9173 0.7519
S 0.7554 0.7554 0.2445
S 0.9173 0.5902 0.7519

MgScS3: relaxed, PBE.

Results
Its electronic total energy is -4.54 eV/atom. Its energy above the lowest structure with this stoichiometry is 810.5 meV/atom. As for the symmetry: No. 221.

a b c (Å): 4.6922 4.6922 4.6922
angles (deg): 90.00 90.00 90.00
Fractional positions:
Mg 0.0000 0.0000 0.0000
Sc 0.5000 0.5000 0.5000
S 0.0000 0.0000 0.5000
S 0.0000 0.5000 0.0000
S 0.5000 0.0000 0.0000